Entry 1:
SrAsPd2Rh: relaxed, PBE.

Output
As for the total energy: -5.2167 eV/atom. Its density of states at the Fermi level is 4.2 states/eV/cell. For the formation energy from the elements, the calculation gives -0.40 eV per atom.

Cell and atoms, written as extended XYZ:
```
5
Lattice="4.797 0.000 0.000 0.000 4.797 0.000 0.000 0.000 4.675" Properties=species:S:1:pos:R:3 pbc="T T T"
Sr 0.000 0.000 0.000
As 2.399 2.399 2.338
Pd 0.000 2.399 2.338
Pd 2.399 0.000 2.338
Rh 2.399 2.399 0.000
```

---

Entry 2:
Tb2As4PdRh3: relaxed, PBE.

Output
As for the total energy: -6.3730 eV/atom. Its density of states at the Fermi level is 6.4 states/eV/cell. For the formation energy from the elements, the calculation gives -0.86 eV per atom.

Cell and atoms, written as extended XYZ:
```
10
Lattice="4.283 0.000 0.000 0.000 4.283 0.000 0.000 0.000 9.973" Properties=species:S:1:pos:R:3 pbc="T T T"
Tb 0.000 2.142 2.483
Tb 2.142 0.000 7.490
As 0.000 0.000 0.000
As 0.000 2.142 6.369
As 2.142 0.000 3.604
As 2.142 2.142 0.000
Pd 0.000 0.000 4.986
Rh 0.000 2.142 8.761
Rh 2.142 0.000 1.212
Rh 2.142 2.142 4.986
```

---

Entry 3:
Tb3As2Pd2Rh5: relaxed, PBE.

Output
As for the total energy: -6.6831 eV/atom. Its density of states at the Fermi level is 6.9 states/eV/cell. For the formation energy from the elements, the calculation gives -0.82 eV per atom.

Cell and atoms, written as extended XYZ:
```
12
Lattice="-2.026 2.026 13.276 2.026 -2.026 13.276 2.026 2.026 -13.276" Properties=species:S:1:pos:R:3 pbc="T T T"
Tb 0.000 0.000 0.000
Tb 0.000 0.000 4.432
Tb 0.000 0.000 22.119
As 0.000 0.000 9.820
As 0.000 0.000 16.731
Pd 0.000 0.000 7.315
Pd 0.000 0.000 19.236
Rh 2.026 0.000 2.108
Rh 2.026 0.000 11.167
Rh 0.000 0.000 13.276
Rh 0.000 2.026 2.108
Rh 0.000 2.026 11.167
```

---

Entry 4:
Tb2As3PdRh4: relaxed, PBE.

Output
As for the total energy: -6.5968 eV/atom. Its density of states at the Fermi level is 6.5 states/eV/cell. For the formation energy from the elements, the calculation gives -0.82 eV per atom.

Cell and atoms, written as extended XYZ:
```
10
Lattice="4.025 0.000 0.000 0.000 4.025 0.000 0.000 0.000 11.116" Properties=species:S:1:pos:R:3 pbc="T T T"
Tb 0.000 2.012 2.639
Tb 2.012 0.000 8.477
As 0.000 0.000 0.000
As 0.000 2.012 6.997
As 2.012 0.000 4.119
Pd 2.012 2.012 0.000
Rh 0.000 0.000 5.558
Rh 0.000 2.012 9.334
Rh 2.012 0.000 1.782
Rh 2.012 2.012 5.558
```

---

Entry 5:
TbAs2PdRh5: relaxed, PBE.

Output
As for the total energy: -6.5478 eV/atom. Its density of states at the Fermi level is 10.2 states/eV/cell. For the formation energy from the elements, the calculation gives -0.34 eV per atom.

Cell and atoms, written as extended XYZ:
```
9
Lattice="4.136 0.000 0.000 0.000 4.136 0.000 0.000 0.000 8.865" Properties=species:S:1:pos:R:3 pbc="T T T"
Tb 0.000 0.000 0.000
As 2.068 2.068 3.225
As 2.068 2.068 5.640
Pd 0.000 0.000 4.433
Rh 0.000 2.068 2.056
Rh 0.000 2.068 6.809
Rh 2.068 0.000 2.056
Rh 2.068 0.000 6.809
Rh 2.068 2.068 0.000
```

---

Entry 6:
Th2As4PdRh3: relaxed, PBE.

Output
As for the total energy: -6.9995 eV/atom. Its density of states at the Fermi level is 5.0 states/eV/cell. For the formation energy from the elements, the calculation gives -0.93 eV per atom.

Cell and atoms, written as extended XYZ:
```
10
Lattice="4.397 0.000 0.000 0.000 4.397 0.000 0.000 0.000 9.732" Properties=species:S:1:pos:R:3 pbc="T T T"
Th 0.000 2.198 2.419
Th 2.198 0.000 7.313
As 0.000 0.000 0.000
As 0.000 2.198 6.182
As 2.198 0.000 3.550
As 2.198 2.198 0.000
Pd 0.000 0.000 4.866
Rh 0.000 2.198 8.607
Rh 2.198 0.000 1.125
Rh 2.198 2.198 4.866
```

---

Entry 7:
Th2As3PdRh4: relaxed, PBE.

Output
As for the total energy: -7.2219 eV/atom. Its density of states at the Fermi level is 5.2 states/eV/cell. For the formation energy from the elements, the calculation gives -0.88 eV per atom.

Cell and atoms, written as extended XYZ:
```
10
Lattice="4.053 0.000 0.000 0.000 4.053 0.000 0.000 0.000 11.303" Properties=species:S:1:pos:R:3 pbc="T T T"
Th 0.000 2.026 2.711
Th 2.026 0.000 8.591
As 0.000 0.000 0.000
As 0.000 2.026 7.077
As 2.026 0.000 4.225
Pd 2.026 2.026 0.000
Rh 0.000 0.000 5.651
Rh 0.000 2.026 9.456
Rh 2.026 0.000 1.847
Rh 2.026 2.026 5.651
```

---

Entry 8:
ThAs2PdRh2: relaxed, PBE.

Output
As for the total energy: -6.2149 eV/atom. Its density of states at the Fermi level is 5.2 states/eV/cell. For the formation energy from the elements, the calculation gives -0.11 eV per atom.

Cell and atoms, written as extended XYZ:
```
6
Lattice="4.692 0.000 0.000 0.000 4.692 0.000 0.000 0.000 5.561" Properties=species:S:1:pos:R:3 pbc="T T T"
Th 0.000 0.000 0.000
As 0.000 2.346 2.780
As 2.346 0.000 2.780
Pd 0.000 0.000 2.780
Rh 2.346 2.346 1.332
Rh 2.346 2.346 4.229
```

---

Entry 9:
Ti2AsPdRh: relaxed, PBE.

Output
As for the total energy: -6.3001 eV/atom. Its density of states at the Fermi level is 6.8 states/eV/cell. For the formation energy from the elements, the calculation gives 0.30 eV per atom.

Cell and atoms, written as extended XYZ:
```
5
Lattice="4.655 0.000 0.000 0.000 4.655 0.000 0.000 0.000 4.494" Properties=species:S:1:pos:R:3 pbc="T T T"
Ti 0.000 2.327 0.000
Ti 2.327 0.000 0.000
As 0.000 0.000 0.000
Pd 0.000 0.000 2.247
Rh 2.327 2.327 2.247
```

---

Entry 10:
Tm3As2Pd2Rh5: relaxed, PBE.

Output
As for the total energy: -6.6623 eV/atom. Its density of states at the Fermi level is 6.8 states/eV/cell. For the formation energy from the elements, the calculation gives -0.84 eV per atom.

Cell and atoms, written as extended XYZ:
```
12
Lattice="-2.011 2.011 13.123 2.011 -2.011 13.123 2.011 2.011 -13.123" Properties=species:S:1:pos:R:3 pbc="T T T"
Tm 0.000 0.000 0.000
Tm 0.000 0.000 4.356
Tm 0.000 0.000 21.890
As 0.000 0.000 9.677
As 0.000 0.000 16.569
Pd 0.000 0.000 7.200
Pd 0.000 0.000 19.046
Rh 2.011 0.000 2.074
Rh 2.011 0.000 11.049
Rh 0.000 0.000 13.123
Rh 0.000 2.011 2.074
Rh 0.000 2.011 11.049
```

---

Entry 11:
AsPd2Ru2: relaxed, PBE.

Output
As for the total energy: -6.1919 eV/atom. The excess energy over the best structure of this formula in the dataset is 38.4 kJ per mole of atoms. Its density of states at the Fermi level is 8.0 states/eV/cell. For the formation energy from the elements, the calculation gives 0.53 eV per atom.

Cell and atoms, written as extended XYZ:
```
5
Lattice="-1.782 1.782 6.489 1.782 -1.782 6.489 1.782 1.782 -6.489" Properties=species:S:1:pos:R:3 pbc="T T T"
As 0.000 0.000 0.000
Pd 1.782 0.000 3.244
Pd 0.000 1.782 3.244
Ru 0.000 0.000 5.275
Ru 0.000 0.000 7.703
```

---

Entry 12:
As2PdRu: relaxed, PBE.

Output
As for the total energy: -5.9086 eV/atom. The excess energy over the best structure of this formula in the dataset is 13.9 kJ per mole of atoms. Its density of states at the Fermi level is 3.3 states/eV/cell. For the formation energy from the elements, the calculation gives 0.03 eV per atom.

Cell and atoms, written as extended XYZ:
```
4
Lattice="0.000 3.148 3.148 3.148 0.000 3.148 3.148 3.148 0.000" Properties=species:S:1:pos:R:3 pbc="T T T"
As 1.574 1.574 1.574
As 4.721 4.721 4.721
Pd 0.000 0.000 0.000
Ru 3.148 3.148 3.148
```